Material: Ru3AuS
Method: DFT, PBEsol
State: optimized geometry

```
data_Ru3AuS
_symmetry_space_group_name_H-M 'P m -3 m'
_symmetry_Int_Tables_number 221
_symmetry_space_group_name_Hall '-P 4 2 3'
_cell_length_a 4.271
_cell_length_b 4.271
_cell_length_c 4.271
_cell_angle_alpha 90.00
_cell_angle_beta 90.00
_cell_angle_gamma 90.00
loop_
_atom_site_label
_atom_site_fract_x
_atom_site_fract_y
_atom_site_fract_z
_atom_site_occupancy
Ru1 0.000 0.000 0.500 1
Au1 0.500 0.500 0.500 1
S1 0.000 0.000 0.000 1
```

=====

Material: RuAuSe2S
Method: DFT, PBEsol
State: optimized geometry

```
data_RuAuSe2S
_symmetry_space_group_name_H-M 'P 4/m m m'
_symmetry_Int_Tables_number 123
_symmetry_space_group_name_Hall '-P 4 2'
_cell_length_a 4.805
_cell_length_b 4.805
_cell_length_c 4.280
_cell_angle_alpha 90.00
_cell_angle_beta 90.00
_cell_angle_gamma 90.00
loop_
_atom_site_label
_atom_site_fract_x
_atom_site_fract_y
_atom_site_fract_z
_atom_site_occupancy
Ru1 0.000 0.000 0.000 1
Au1 0.500 0.500 0.000 1
Se1 0.000 0.500 0.500 1
S1 0.000 0.000 0.500 1
```

=====

Computed DFT total energy, in the same sequence as the records: -7.204; -4.286 eV per atom.
Computed uncorrected formation energy, in the same sequence as the records: 54; 92 kJ per mole of atoms.